(1)
Here is an optimized crystal structure of TaTlSb2 from Alexandria. Energies are from PBE-GGA.

Cell and atoms, written as extended XYZ:
```
4
Lattice="5.529 0.000 0.000 0.000 3.200 0.000 -1.567 0.000 5.327" Properties=species:S:1:pos:R:3 pbc="T T T"
Ta 0.000 0.000 0.000
Tl -0.784 1.600 2.664
Sb 1.981 0.000 2.664
Sb 2.765 1.600 0.000
```

Energy above the lowest structure with this stoichiometry   536 meV/atom
Size of the total moment   0.00 μB/f.u.

***

(2)
Here is an optimized crystal structure of TaTlSb2 from Alexandria. Energies are from PBE-GGA.

Cell and atoms, written as extended XYZ:
```
4
Lattice="3.124 -4.161 0.000 3.124 4.161 0.000 -0.346 0.000 3.665" Properties=species:S:1:pos:R:3 pbc="T T T"
Ta 0.000 0.000 0.000
Tl 3.124 0.000 0.000
Sb 1.389 2.080 1.832
Sb 1.389 -2.080 1.832
```

Energy above the lowest structure with this stoichiometry   466 meV/atom
Size of the total moment   0.00 μB/f.u.

***

(3)
Here is an optimized crystal structure of TaTlSb2 from Alexandria. Energies are from PBE-GGA.

Cell and atoms, written as extended XYZ:
```
4
Lattice="0.000 3.646 3.646 3.646 0.000 3.646 3.646 3.646 0.000" Properties=species:S:1:pos:R:3 pbc="T T T"
Ta 0.000 0.000 0.000
Tl 3.646 3.646 3.646
Sb 1.823 1.823 1.823
Sb 5.469 5.469 5.469
```

Energy above the lowest structure with this stoichiometry   491 meV/atom
Size of the total moment   1.18 μB/f.u.

***

(4)
Here is an optimized crystal structure of TaTlSb2 from Alexandria. Energies are from PBE-GGA.

Cell and atoms, written as extended XYZ:
```
4
Lattice="-1.530 2.619 6.610 1.530 -2.619 6.610 1.530 2.619 -6.610" Properties=species:S:1:pos:R:3 pbc="T T T"
Ta 0.000 0.000 0.000
Tl 0.000 0.000 6.610
Sb 1.530 0.000 2.482
Sb 0.000 2.619 4.129
```

Energy above the lowest structure with this stoichiometry   235 meV/atom
Size of the total moment   0.00 μB/f.u.

***

Number 1: ΔE_f (raw) 2.35 eV per formula unit. Number 2: ΔE_f (raw) 2.07 eV per formula unit. Number 3: ΔE_f (raw) 2.17 eV per formula unit. Number 4: ΔE_f (raw) 1.15 eV per formula unit.